The following is a DFT calculation (GGA+U) of a geometry-optimized LiMnBiF2 structure.

The structure belongs to space group P4/mmm (No. 123); the cell edges are 3.9898, 3.9898 and 7.3569 Å and the angles 90.00°, 90.00° and 90.00°. Symmetry generates all atoms from Li at (0.0000, 0.0000, 0.0000), Mn at (0.0000, 0.0000, 0.5000), Bi at (0.5000, 0.5000, 0.0000) and F at (0.0000, 0.5000, 0.5000).

Its calculated volume is 23.4 Å³ per atom. As for the total moment: 4.84 μB per cell. The calculation puts the total energy at -4.707 eV per atom.